Entry from the Alexandria database: a relaxed structure of NaLiInH2 (PBE).

abc: 4.0436 5.6304 4.0436
angles: 90.00 90.00 90.00
Last column: nearest neighbours and their distance in Å.
Fractional positions:
Na: 0.5000 0.5000 0.5000  4 Li 2.86
Li: 0.0000 0.5000 0.0000  2 In 2.82, 4 Na 2.86
H: 0.0000 0.0000 0.5000  2 In 2.02
H: 0.5000 0.0000 0.0000  2 In 2.02
In: 0.0000 0.0000 0.0000  4 H 2.02

Calculated values
* final energy: -0.1619 Ry/atom
* crystal system: tetragonal
* density: 2.6 g/cm³

=====

Entry from the Alexandria database: a relaxed structure of Na2LiInH (PBE).

abc: 4.8271 4.8271 4.3353
angles: 90.00 90.00 90.00
Last column: nearest neighbours and their distance in Å.
Fractional positions:
Na: 0.0000 0.5000 0.0000  2 H 2.41
Na: 0.5000 0.0000 0.0000  2 H 2.41
Li: 0.0000 0.0000 0.5000  2 H 2.17
H: 0.0000 0.0000 0.0000  2 Li 2.17, 4 Na 2.41
In: 0.5000 0.5000 0.5000  8 Na 3.24, 4 Li 3.41

Calculated values
* final energy: -0.1612 Ry/atom
* crystal system: tetragonal
* density: 2.8 g/cm³

=====

Entry from the Alexandria database: a relaxed structure of LiNb2InH (PBE).

abc: 4.0038 4.0038 4.6214
angles: 90.00 90.00 90.00
Last column: nearest neighbours and their distance in Å.
Fractional positions:
H: 0.0000 0.0000 0.0000  4 Nb 2.00
Nb: 0.0000 0.5000 0.0000  2 H 2.00
Nb: 0.5000 0.0000 0.0000  2 H 2.00
Li: 0.0000 0.0000 0.5000  2 H 2.31
In: 0.5000 0.5000 0.5000  4 Li 2.83, 8 Nb 3.06

Calculated values
* final energy: -0.4224 Ry/atom
* crystal system: tetragonal
* density: 6.9 g/cm³

=====

Entry from the Alexandria database: a relaxed structure of LiIn2H6Os (PBE).

abc: 5.3842 4.7529 4.7529
angles: 120.00 90.00 90.00
Last column: nearest neighbours and their distance in Å.
Fractional positions:
Li: 0.5000 0.0000 0.0000  6 H 2.14
In: 0.2526 0.3333 0.6667  6 H 2.40
In: 0.7474 0.6667 0.3333  6 H 2.40
H: 0.8068 0.1654 0.3309  1 Os 1.71
H: 0.8068 0.1654 0.8346  1 Os 1.71
H: 0.8068 0.6691 0.8346  1 Os 1.71
H: 0.1932 0.8346 0.1654  1 Os 1.71
H: 0.1932 0.3309 0.1654  1 Os 1.71
H: 0.1932 0.8346 0.6691  1 Os 1.71
Os: 0.0000 0.0000 0.0000  6 H 1.71

Calculated values
* final energy: -0.2815 Ry/atom
* crystal system: trigonal
* density: 6.8 g/cm³

=====

Entry from the Alexandria database: a relaxed structure of LiInHPb2 (PBE).

abc: 5.0528 5.0528 4.3470
angles: 90.00 90.00 90.00
Last column: nearest neighbours and their distance in Å.
Fractional positions:
Pb: 0.0000 0.5000 0.0000  2 H 2.53
Pb: 0.5000 0.0000 0.0000  2 H 2.53
H: 0.0000 0.0000 0.0000  2 Li 2.17
Li: 0.0000 0.0000 0.5000  2 H 2.17
In: 0.5000 0.5000 0.5000  8 Pb 3.33, 4 Li 3.57

Calculated values
* final energy: -0.2241 Ry/atom
* crystal system: tetragonal
* density: 8.0 g/cm³

=====

Entry from the Alexandria database: a relaxed structure of LiInH2Pd4 (PBE).

abc: 3.9280 3.9280 7.1935
angles: 90.00 90.00 90.00
Last column: nearest neighbours and their distance in Å.
Fractional positions:
Li: 0.0000 0.0000 0.5000  8 Pd 2.57
In: 0.0000 0.0000 0.0000  8 Pd 2.76
H: 0.5000 0.5000 0.2778  4 Pd 1.96
H: 0.5000 0.5000 0.7222  4 Pd 1.96
Pd: 0.0000 0.5000 0.2702  2 H 1.96
Pd: 0.5000 0.0000 0.7298  2 H 1.96
Pd: 0.5000 0.0000 0.2702  2 H 1.96
Pd: 0.0000 0.5000 0.7298  2 H 1.96

Calculated values
* final energy: -0.3132 Ry/atom
* crystal system: tetragonal
* density: 8.2 g/cm³

=====

Entry from the Alexandria database: a relaxed structure of LiPr2InH (PBE).

abc: 4.2367 5.1652 5.1652
angles: 90.00 90.00 90.00
Last column: nearest neighbours and their distance in Å.
Fractional positions:
Li: 0.5000 0.0000 0.0000  2 H 2.12
Pr: 0.0000 0.0000 0.5000  2 H 2.58
Pr: 0.0000 0.5000 0.0000  2 H 2.58
In: 0.5000 0.5000 0.5000  8 Pr 3.34, 4 Li 3.65
H: 0.0000 0.0000 0.0000  2 Li 2.12

Calculated values
* final energy: -0.2870 Ry/atom
* crystal system: tetragonal
* density: 5.9 g/cm³

=====

Entry from the Alexandria database: a relaxed structure of Li2InHRh (PBE).

abc: 3.8293 3.8293 4.5298
angles: 90.00 90.00 90.00
Last column: nearest neighbours and their distance in Å.
Fractional positions:
H: 0.0000 0.0000 0.0000  4 Li 1.91
Li: 0.0000 0.5000 0.0000  2 H 1.91
Li: 0.5000 0.0000 0.0000  2 H 1.91
Rh: 0.5000 0.5000 0.5000  4 In 2.71, 8 Li 2.97
In: 0.0000 0.0000 0.5000  2 H 2.26

Calculated values
* distance to the lowest polymorph of the same formula: 0.1479 eV/atom
* crystal system: tetragonal
* density: 5.8 g/cm³

=====

Entry from the Alexandria database: a relaxed structure of Li2InHRh (PBE).

abc: 4.0676 4.0676 3.7664
angles: 90.00 90.00 90.00
Last column: nearest neighbours and their distance in Å.
Fractional positions:
H: 0.0000 0.0000 0.0000  2 Rh 1.88, 4 Li 2.03
Li: 0.0000 0.5000 0.0000  2 H 2.03
Li: 0.5000 0.0000 0.0000  2 H 2.03
Rh: 0.0000 0.0000 0.5000  2 H 1.88
In: 0.5000 0.5000 0.5000  8 Li 2.77, 4 Rh 2.88

Calculated values
* distance to the lowest polymorph of the same formula: 0.0000 eV/atom
* crystal system: tetragonal
* density: 6.2 g/cm³

=====

Entry from the Alexandria database: a relaxed structure of LiInHRu2 (PBE).

abc: 3.8948 3.8948 4.1444
angles: 90.00 90.00 90.00
Last column: nearest neighbours and their distance in Å.
Fractional positions:
Ru: 0.0000 0.5000 0.0000  2 H 1.95
Ru: 0.5000 0.0000 0.0000  2 H 1.95
Li: 0.0000 0.0000 0.5000  2 H 2.07
H: 0.0000 0.0000 0.0000  4 Ru 1.95, 2 Li 2.07
In: 0.5000 0.5000 0.5000  4 Li 2.75, 8 Ru 2.84

Calculated values
* distance to the lowest polymorph of the same formula: 0.0000 eV/atom
* crystal system: tetragonal
* density: 8.6 g/cm³

=====

Entry from the Alexandria database: a relaxed structure of LiInHRu2 (PBE).

abc: 4.1886 4.5676 4.1886
angles: 90.00 90.00 90.00
Last column: nearest neighbours and their distance in Å.
Fractional positions:
Ru: 0.0000 0.0000 0.5000  2 Li 2.09
Ru: 0.5000 0.0000 0.0000  2 Li 2.09
Li: 0.0000 0.0000 0.0000  4 Ru 2.09, 2 In 2.28
H: 0.5000 0.5000 0.5000  4 In 2.96, 8 Ru 3.10
In: 0.0000 0.5000 0.0000  2 Li 2.28

Calculated values
* distance to the lowest polymorph of the same formula: 1.4746 eV/atom
* crystal system: tetragonal
* density: 6.7 g/cm³

=====

Entry from the Alexandria database: a relaxed structure of Li2InSbH (PBE).

abc: 4.6089 4.6089 4.2268
angles: 90.00 90.00 90.00
Last column: nearest neighbours and their distance in Å.
Fractional positions:
Sb: 0.0000 0.0000 0.5000  2 H 2.11
Li: 0.0000 0.5000 0.0000  2 H 2.30
Li: 0.5000 0.0000 0.0000  2 H 2.30
H: 0.0000 0.0000 0.0000  2 Sb 2.11, 4 Li 2.30
In: 0.5000 0.5000 0.5000  8 Li 3.13, 4 Sb 3.26

Calculated values
* distance to the lowest polymorph of the same formula: 0.1139 eV/atom
* crystal system: tetragonal
* density: 4.7 g/cm³

=====

Entry from the Alexandria database: a relaxed structure of Li2InSbH (PBE).

abc: 4.2981 4.2981 4.6157
angles: 90.00 90.00 90.00
Last column: nearest neighbours and their distance in Å.
Fractional positions:
Sb: 0.5000 0.5000 0.5000  4 In 3.04, 8 Li 3.15
Li: 0.0000 0.5000 0.0000  2 H 2.15
Li: 0.5000 0.0000 0.0000  2 H 2.15
H: 0.0000 0.0000 0.0000  4 Li 2.15, 2 In 2.31
In: 0.0000 0.0000 0.5000  2 H 2.31

Calculated values
* distance to the lowest polymorph of the same formula: 0.0000 eV/atom
* crystal system: tetragonal
* density: 4.9 g/cm³

=====

Entry from the Alexandria database: a relaxed structure of LiSc2InH (PBE).

abc: 4.5761 4.5761 4.0464
angles: 90.00 90.00 90.00
Last column: nearest neighbours and their distance in Å.
Fractional positions:
Sc: 0.0000 0.5000 0.0000  2 H 2.29
Sc: 0.5000 0.0000 0.0000  2 H 2.29
H: 0.0000 0.0000 0.0000  2 Li 2.02
Li: 0.0000 0.0000 0.5000  2 H 2.02
In: 0.5000 0.5000 0.5000  8 Sc 3.05, 4 Li 3.24

Calculated values
* final energy: -0.3311 Ry/atom
* crystal system: tetragonal
* density: 4.2 g/cm³

=====

Entry from the Alexandria database: a relaxed structure of Li2InSnH (PBE).

abc: 4.2703 4.2703 4.7131
angles: 90.00 90.00 90.00
Last column: nearest neighbours and their distance in Å.
Fractional positions:
H: 0.0000 0.0000 0.0000  4 Li 2.14, 2 In 2.36
Li: 0.0000 0.5000 0.0000  2 H 2.14
Li: 0.5000 0.0000 0.0000  2 H 2.14
Sn: 0.5000 0.5000 0.5000  4 In 3.02, 8 Li 3.18
In: 0.0000 0.0000 0.5000  2 H 2.36

Calculated values
* distance to the lowest polymorph of the same formula: 0.0000 eV/atom
* crystal system: tetragonal
* density: 4.8 g/cm³

=====

Entry from the Alexandria database: a relaxed structure of Li2InSnH (PBE).

abc: 4.3595 4.3595 4.4931
angles: 90.00 90.00 90.00
Last column: nearest neighbours and their distance in Å.
Fractional positions:
H: 0.0000 0.0000 0.0000  4 Li 2.18, 2 Sn 2.25
Li: 0.0000 0.5000 0.0000  2 H 2.18
Li: 0.5000 0.0000 0.0000  2 H 2.18
Sn: 0.0000 0.0000 0.5000  2 H 2.25
In: 0.5000 0.5000 0.5000  4 Sn 3.08, 8 Li 3.13

Calculated values
* distance to the lowest polymorph of the same formula: 0.0437 eV/atom
* crystal system: tetragonal
* density: 4.8 g/cm³

=====

Entry from the Alexandria database: a relaxed structure of Sr2LiInH (PBE).

abc: 5.4542 5.4542 4.5551
angles: 90.00 90.00 90.00
Last column: nearest neighbours and their distance in Å.
Fractional positions:
Sr: 0.0000 0.5000 0.0000  2 H 2.73
Sr: 0.5000 0.0000 0.0000  2 H 2.73
Li: 0.5000 0.5000 0.5000  8 Sr 3.55, 4 In 3.86
H: 0.0000 0.0000 0.0000  2 In 2.28
In: 0.0000 0.0000 0.5000  2 H 2.28

Calculated values
* distance to the lowest polymorph of the same formula: 0.1726 eV/atom
* crystal system: tetragonal
* density: 3.7 g/cm³

=====

Entry from the Alexandria database: a relaxed structure of Sr2LiInH (PBE).

abc: 5.5303 5.5303 4.2190
angles: 90.00 90.00 90.00
Last column: nearest neighbours and their distance in Å.
Fractional positions:
Sr: 0.0000 0.5000 0.0000  2 H 2.77
Sr: 0.5000 0.0000 0.0000  2 H 2.77
Li: 0.0000 0.0000 0.5000  2 H 2.11
H: 0.0000 0.0000 0.0000  2 Li 2.11
In: 0.5000 0.5000 0.5000  8 Sr 3.48

Calculated values
* distance to the lowest polymorph of the same formula: 0.0000 eV/atom
* crystal system: tetragonal
* density: 3.8 g/cm³

=====

Entry from the Alexandria database: a relaxed structure of LiIn2TeH (PBE).

abc: 6.5262 6.5262 5.0516
angles: 90.00 90.00 90.00
Last column: nearest neighbours and their distance in Å.
Fractional positions:
H: 0.5000 0.5000 0.5000  8 In 4.13, 4 Li 4.61
Te: 0.0000 0.0000 0.0000  2 Li 2.53
Li: 0.0000 0.0000 0.5000  2 Te 2.53
In: 0.0000 0.5000 0.0000  2 Te 3.26
In: 0.5000 0.0000 0.0000  2 Te 3.26

Calculated values
* final energy: -0.1750 Ry/atom
* crystal system: tetragonal
* density: 2.8 g/cm³

=====

Entry from the Alexandria database: a relaxed structure of Li2TiInH (PBE).

abc: 4.1083 4.1083 4.1777
angles: 90.00 90.00 90.00
Last column: nearest neighbours and their distance in Å.
Fractional positions:
H: 0.0000 0.0000 0.0000  4 Li 2.05, 2 Ti 2.09
Ti: 0.0000 0.0000 0.5000  2 H 2.09
Li: 0.0000 0.5000 0.0000  2 H 2.05
Li: 0.5000 0.0000 0.0000  2 H 2.05
In: 0.5000 0.5000 0.5000  4 Ti 2.91, 8 Li 2.93

Calculated values
* final energy: -0.2749 Ry/atom
* crystal system: tetragonal
* density: 4.2 g/cm³

=====

Entry from the Alexandria database: a relaxed structure of LiTi2InH (PBE).

abc: 4.0245 4.0245 4.3547
angles: 90.00 90.00 90.00
Last column: nearest neighbours and their distance in Å.
Fractional positions:
H: 0.0000 0.0000 0.0000  4 Ti 2.01, 2 Li 2.18
Ti: 0.0000 0.5000 0.0000  2 H 2.01
Ti: 0.5000 0.0000 0.0000  2 H 2.01
Li: 0.0000 0.0000 0.5000  2 H 2.18
In: 0.5000 0.5000 0.5000  4 Li 2.85, 8 Ti 2.96

Calculated values
* final energy: -0.3655 Ry/atom
* crystal system: tetragonal
* density: 5.1 g/cm³

=====

Entry from the Alexandria database: a relaxed structure of LiTl2InH (PBE).

abc: 5.6203 5.6203 3.5417
angles: 90.00 90.00 90.00
Last column: nearest neighbours and their distance in Å.
Fractional positions:
H: 0.0000 0.0000 0.0000  2 Li 1.77
Tl: 0.0000 0.5000 0.0000  2 H 2.81
Tl: 0.5000 0.0000 0.0000  2 H 2.81
Li: 0.0000 0.0000 0.5000  2 H 1.77
In: 0.5000 0.5000 0.5000  8 Tl 3.32, 2 In 3.54

Calculated values
* final energy: -0.1873 Ry/atom
* crystal system: tetragonal
* density: 7.9 g/cm³

=====

Entry from the Alexandria database: a relaxed structure of LiV2InH (PBE).

abc: 5.4640 3.6009 5.4640
angles: 90.00 90.00 90.00
Last column: nearest neighbours and their distance in Å.
Fractional positions:
H: 0.0000 0.5000 0.0000  2 In 1.80
V: 0.0000 0.0000 0.5000  2 In 2.73
V: 0.5000 0.0000 0.0000  2 In 2.73
Li: 0.5000 0.5000 0.5000  8 V 3.27, 2 Li 3.60
In: 0.0000 0.0000 0.0000  2 H 1.80

Calculated values
* final energy: -0.2911 Ry/atom
* crystal system: tetragonal
* density: 3.5 g/cm³

=====

Entry from the Alexandria database: a relaxed structure of Li2YInH (PBE).

abc: 4.4339 4.4339 4.6340
angles: 90.00 90.00 90.00
Last column: nearest neighbours and their distance in Å.
Fractional positions:
Y: 0.0000 0.0000 0.5000  2 H 2.32
H: 0.0000 0.0000 0.0000  4 Li 2.22, 2 Y 2.32
Li: 0.0000 0.5000 0.0000  2 H 2.22
Li: 0.5000 0.0000 0.0000  2 H 2.22
In: 0.5000 0.5000 0.5000  4 Y 3.14, 8 Li 3.21

Calculated values
* final energy: -0.2647 Ry/atom
* crystal system: tetragonal
* density: 4.0 g/cm³

=====

Entry from the Alexandria database: a relaxed structure of LiY2InH (PBE).

abc: 4.9617 4.9617 4.1133
angles: 90.00 90.00 90.00
Last column: nearest neighbours and their distance in Å.
Fractional positions:
Y: 0.0000 0.5000 0.0000  2 H 2.48
Y: 0.5000 0.0000 0.0000  2 H 2.48
H: 0.0000 0.0000 0.0000  2 Li 2.06
Li: 0.0000 0.0000 0.5000  2 H 2.06
In: 0.5000 0.5000 0.5000  8 Y 3.22, 4 Li 3.51

Calculated values
* final energy: -0.3373 Ry/atom
* crystal system: tetragonal
* density: 4.9 g/cm³

=====

Entry from the Alexandria database: a relaxed structure of LiZnIn2H (PBE).

abc: 4.9559 4.9559 3.5787
angles: 90.00 90.00 90.00
Last column: nearest neighbours and their distance in Å.
Fractional positions:
H: 0.0000 0.0000 0.0000  2 Li 1.79
Zn: 0.5000 0.5000 0.5000  8 In 3.06
Li: 0.0000 0.0000 0.5000  2 H 1.79
In: 0.0000 0.5000 0.0000  2 H 2.48
In: 0.5000 0.0000 0.0000  2 H 2.48

Calculated values
* final energy: -0.1737 Ry/atom
* crystal system: tetragonal
* density: 5.7 g/cm³

=====

Entry from the Alexandria database: a relaxed structure of Lu2InH (PBE).

abc: 3.4982 3.4982 7.9521
angles: 77.29 77.29 60.00
Last column: nearest neighbours and their distance in Å.
Fractional positions:
H: 0.0000 0.0000 0.0000  6 Lu 2.42
Lu: 0.2757 0.2757 0.1728  3 H 2.42
Lu: 0.7243 0.7243 0.8272  3 H 2.42
In: 0.5000 0.5000 0.5000  6 Lu 3.23, 6 In 3.50

Calculated values
* final energy: -0.3004 Ry/atom
* crystal system: trigonal
* density: 9.5 g/cm³